[1]
Material: Ag3Sb
Method: DFT, PBE-GGA
State: optimized geometry

Output
formation energy without anion corrections: 0.10 eV per atom
crystal system: cubic
Fermi-level density of states: 0.3039 states/eV per atom
spin magnetization: 0.00 Bohr magnetons per cell

a = 5.4667 Å, b = 5.4667 Å, c = 5.4667 Å
α = 90.00°, β = 90.00°, γ = 90.00°
Space group Pm-3n (No. 223)
Asymmetric unit:
Ag  0.0000  0.2500  0.5000 [6 per cell]
Sb  0.0000  0.0000  0.0000 [2 per cell]



[2]
Material: Ag3Sb
Method: DFT, PBE-GGA
State: optimized geometry

Output
formation energy without anion corrections: 0.04 eV per atom
crystal system: cubic
Fermi-level density of states: 0.2780 states/eV per atom
spin magnetization: 0.00 Bohr magnetons per cell

a = 4.2949 Å, b = 4.2949 Å, c = 4.2949 Å
α = 90.00°, β = 90.00°, γ = 90.00°
Space group Pm-3m (No. 221)
Asymmetric unit:
Ag  0.0000  0.0000  0.5000 [3 per cell]
Sb  0.5000  0.5000  0.5000 [1 per cell]



[3]
Material: Ag3Sb
Method: DFT, PBE-GGA
State: optimized geometry

Output
formation energy without anion corrections: 0.09 eV per atom
crystal system: orthorhombic
Fermi-level density of states: 0.3364 states/eV per atom
spin magnetization: 0.00 Bohr magnetons per cell

a = 3.3344 Å, b = 4.8181 Å, c = 5.0369 Å
α = 90.00°, β = 90.00°, γ = 90.00°
Space group Pmm2 (No. 25)
Asymmetric unit:
Ag  0.0000  0.0000  0.0000 [1 per cell]
Ag  0.0000  0.5000  0.3514 [1 per cell]
Ag  0.5000  0.0000  0.4863 [1 per cell]
Sb  0.5000  0.5000  0.8498 [1 per cell]